Entry 1:
This record from Alexandria describes Sm2Cd3In3 after structural relaxation. The functional is GGA-PBE.

The crystal system is orthorhombic. For the density of states at the Fermi level, the calculation gives 0.439 states/eV/atom. Its formation energy is -3.08 eV/f.u.

The space group is Pmmm (No. 47) and the conventional cell measures 4.6392, 4.7085 and 9.1965 Å, with angles of 90.00, 90.00 and 90.00 degrees. The distinct sites, in fractional coordinates, are Sm at (0.0000, 0.0000, 0.2491), Cd at (0.0000, 0.5000, 0.5000), Cd at (0.5000, 0.5000, 0.2537), In at (0.0000, 0.5000, 0.0000), In at (0.5000, 0.0000, 0.0000) and In at (0.5000, 0.0000, 0.5000).



Entry 2:
This record from Alexandria describes Nd6Te3PbS2 after structural relaxation. The functional is GGA-PBE.

The crystal system is monoclinic. Its uncorrected energy is -5.64 eV per atom. For the density of states at the Fermi level, the calculation gives 0.298 states/eV/atom.

The space group is C2/m (No. 12) and the conventional cell measures 19.2468, 4.3365 and 8.8422 Å, with angles of 90.00, 104.88 and 90.00 degrees. The distinct sites, in fractional coordinates, are Nd at (0.0143, 0.0000, 0.2561), Nd at (0.1694, 0.5000, 0.1146), Nd at (0.1768, 0.5000, 0.5628), Te at (0.0000, 0.5000, 0.5000), Te at (0.1616, 0.0000, 0.8308), Pb at (0.0000, 0.5000, 0.0000) and S at (0.1692, 0.0000, 0.3363).



Entry 3:
This record from Alexandria describes Pm2PrThBi4 after structural relaxation. The functional is GGA-PBE.

The crystal system is monoclinic. For the density of states at the Fermi level, the calculation gives 0.230 states/eV/atom. Its formation energy is -6.95 eV/f.u.

The space group is P2/m (No. 10) and the conventional cell measures 7.9525, 4.6049 and 7.9633 Å, with angles of 90.00, 109.48 and 90.00 degrees. The distinct sites, in fractional coordinates, are Pm at (0.0000, 0.0000, 0.0000), Pm at (0.0000, 0.5000, 0.5000), Pr at (0.5000, 0.0000, 0.5000), Th at (0.5000, 0.5000, 0.0000), Bi at (0.2481, 0.0000, 0.7508) and Bi at (0.2476, 0.5000, 0.2472).



Entry 4:
This record from Alexandria describes KZn2Te after structural relaxation. The functional is GGA-PBE.

The crystal system is monoclinic. Its uncorrected energy is -1.74 eV per atom. For the density of states at the Fermi level, the calculation gives 0.336 states/eV/atom.

The space group is P2/m (No. 10) and the conventional cell measures 3.2394, 5.4640 and 5.9299 Å, with angles of 90.00, 90.04 and 90.00 degrees. The distinct sites, in fractional coordinates, are K at (0.0000, 0.0000, 0.0000), Zn at (0.4976, 0.5000, 0.7508) and Te at (0.5000, 0.0000, 0.5000).